Compound: SmY2As3
Source: the Alexandria database
Functional: PBE
Structure: relaxed

Its symmetry is No. 71. For the total magnetization, the calculation gives 0.000 μB per formula unit. As for the density of states at the Fermi level: 0.87 states/eV per cell. The energy relative to the elements comes out at -1.545 eV/atom.

a b c (Å): 4.157 5.877 7.195
angles (deg): 114.10 106.79 90.00
Fractional positions:
Sm 0.000 0.500 0.000
Y 0.666 0.166 0.332
Y 0.334 0.834 0.668
As 0.331 0.331 0.661
As 0.000 0.000 0.000
As 0.669 0.669 0.339